1.
A plane-wave DFT calculation with PBE was carried out for ScCo2Mo after structural relaxation.

Structure (POSCAR):
```
ScCo2Mo
1.0
-2.3193 -1.6955 3.9953
1.0985 -4.5848 1.4104
2.5118 4.0547 -1.2109
Mo Sc Co
1 1 2
Cartesian
-0.6104 -3.1402 2.7028 Mo
-0.2089 -0.3905 2.7436 Sc
0.0000 0.0000 0.0000 Co
1.5000 -1.8351 1.4512 Co
```

Calculated values
Space group: I-4m2, No. 119
DOS at the Fermi energy, states/eV/f.u.: 3.53
Total DFT energy (no corrections), eV for the cell shown: -30.99

***

2.
A plane-wave DFT calculation with PBE was carried out for MnNiCl after structural relaxation.

Structure (POSCAR):
```
MnNiCl
1.0
3.9761 0.0000 -0.1515
0.0000 3.3026 0.0000
-2.3135 0.0000 8.4544
Mn Cl Ni
2 2 2
Cartesian
0.3702 1.6513 2.4598 Mn
2.4507 1.6513 4.5425 Mn
1.7390 0.0000 6.2212 Cl
2.1967 1.6513 0.8743 Cl
2.4247 0.0000 2.6674 Ni
0.4395 0.0000 4.3218 Ni
```

Calculated values
Space group: Pm, No. 6
Uncorrected formation energy, eV per atom: -0.268
DOS at the Fermi energy, states/eV/f.u.: 1.66
Total DFT energy (no corrections), eV for the cell shown: -35.20

***

3.
A plane-wave DFT calculation with PBE was carried out for NaAc4Cd3 after structural relaxation.

Structure (POSCAR):
```
NaAc4Cd3
1.0
5.6166 0.0000 -1.5161
-0.4029 5.6085 -1.4924
-0.5399 -0.6154 9.1615
Cd Ac Na
3 4 1
Cartesian
3.8360 1.0885 3.0491 Cd
0.8378 3.9046 3.1038 Cd
-0.2014 2.8042 -0.7462 Cd
0.5367 0.5681 1.9881 Ac
4.1371 4.4250 4.1648 Ac
1.5303 1.6201 5.6693 Ac
3.1435 3.3730 0.4836 Ac
2.8083 0.0000 -0.7581 Na
```

Calculated values
Space group: I4/mmm, No. 139
DOS at the Fermi energy, states/eV/f.u.: 8.99
Total DFT energy (no corrections), eV for the cell shown: -21.93

***

4.
A plane-wave DFT calculation with PBE was carried out for Pm2Pu2O7 after structural relaxation.

Structure (POSCAR):
```
Pm2Pu2O7
1.0
6.7239 0.0000 3.8821
2.2413 6.3394 3.8821
0.0000 0.0000 7.7641
O Pu Pm
14 4 4
Cartesian
1.2486 2.9887 2.1627 O
6.7239 4.7545 11.6462 O
3.2340 4.9355 5.6015 O
5.7312 1.4039 5.6015 O
0.2559 0.1810 3.8821 O
4.4826 3.1697 7.7641 O
3.2340 0.1810 5.6015 O
1.2486 2.9887 5.6015 O
5.7312 1.4039 9.9268 O
4.2267 2.9887 3.8821 O
3.2340 0.1810 2.1627 O
6.9798 4.9355 7.7641 O
1.9854 1.4039 7.7641 O
3.2340 4.9355 9.9268 O
2.2413 3.9621 3.8821 Pu
1.1207 0.7924 1.9410 Pu
1.1207 0.7924 5.8231 Pu
4.4826 0.7924 3.8821 Pu
5.6033 3.9621 9.7052 Pm
5.6033 3.9621 5.8231 Pm
4.4826 0.7924 7.7641 Pm
2.2413 3.9621 7.7641 Pm
```

Calculated values
Space group: Fd-3m, No. 227
Uncorrected formation energy, eV per atom: -3.228
DOS at the Fermi energy, states/eV/f.u.: 6.83
Total DFT energy (no corrections), eV for the cell shown: -216.76

***

> total DFT energy (no corrections) of number 1 (ScCo2Mo)?

-30.99 eV for the cell shown